! Ac3CuIr, optimized geometry, DFT GGA-PBE; values from VASP
&SYSTEM
  ibrav = 0, nat = 10, ntyp = 3
/
ATOMIC_SPECIES
Ac 227.00 Ac.upf
Ir 192.22 Ir.upf
Cu 63.55 Cu.upf
ATOMIC_POSITIONS crystal
Ac 0.6686 0.8859 0.7770
Ac 0.9641 0.7898 0.2819
Ac 0.0359 0.2102 0.7181
Ir 0.1687 0.6941 0.9685
Ac 0.6422 0.5091 0.2065
Cu 0.3148 0.8035 0.5669
Ac 0.3578 0.4909 0.7935
Cu 0.6852 0.1965 0.4331
Ac 0.3314 0.1141 0.2230
Ir 0.8313 0.3059 0.0315
CELL_PARAMETERS angstrom
4.3731 0.0000 1.1164
1.2738 10.6355 4.1335
0.3309 1.0935 7.8270
! space group = C2/m, No. 12
! relative energy among the computed polymorphs = 0 meV per atom
! theoretical density = 9.1 g/cm3
! DFT formation energy = -0.35 eV/atom